# TaC2 (SCAN, PBEsol geometry)
data_TaC2
_chemical_formula_sum 'Ta3 C6'
_cell_length_a 3.656
_cell_length_b 3.656
_cell_length_c 9.446
_cell_angle_alpha 90.00
_cell_angle_beta 90.00
_cell_angle_gamma 120.00
_space_group_name_H-M_alt 'P 1'
_space_group_IT_number 1
loop_
_space_group_symop_operation_xyz
'x,y,z'
loop_
_atom_site_label
_atom_site_fract_x
_atom_site_fract_y
_atom_site_fract_z
Ta1 0.000 0.000 0.000
Ta2 0.333 0.667 0.667
Ta3 0.667 0.333 0.333
C1 0.000 0.000 0.640
C2 0.000 0.000 0.787
C3 0.333 0.667 0.307
C4 0.333 0.667 0.453
C5 0.667 0.333 0.120
C6 0.667 0.333 0.973
# Spin magnetization, μB per cell: 0.00
# Relative energy among the computed polymorphs, eV/atom: 0.000
# Calculated density, g cm⁻³: 9.34
# ΔH_f (0 K), meV/atom: 689
# Electronic total energy, eV per atom: -28.24
# V, Å³ per cell: 109